No. 1
# TiBeI2N | Alexandria via LeMat-Bulk | PBE | optimized geometry
# **Distance to the lowest polymorph of the same formula**: 0.0000 eV/atom
# **Space group**: P4/mmm (123)
# **DFT total energy**: -21.33 eV per cell
# **ΔE_f (raw)**: 0.34 eV per atom
# **M_tot**: 0.00 μB per formula unit
data_TiBeI2N
_chemical_formula_sum 'Ti1 Be1 I2 N1'
_space_group_name_H-M_alt 'P 1'
_space_group_IT_number 1
_cell_length_a 5.6597
_cell_length_b 5.6597
_cell_length_c 3.7535
_cell_angle_alpha 90.00
_cell_angle_beta 90.00
_cell_angle_gamma 90.00
loop_
_space_group_symop_operation_xyz
'x,y,z'
loop_
_atom_site_label
_atom_site_fract_x
_atom_site_fract_y
_atom_site_fract_z
_atom_site_occupancy
Ti1 0.0000 0.0000 0.0000 1
Be1 0.5000 0.5000 0.5000 1
I1 0.0000 0.5000 0.0000 1
I2 0.5000 0.0000 0.0000 1
N1 0.0000 0.0000 0.5000 1

---

No. 2
# AsWSe | Alexandria via LeMat-Bulk | PBE | optimized geometry
# **Distance to the lowest polymorph of the same formula**: 0.1589 eV/atom
# **Space group**: Cm (8)
# **DFT total energy**: -20.97 eV per cell
# **ΔE_f (raw)**: 0.04 eV per atom
# **M_tot**: 0.00 μB per formula unit
data_AsWSe
_chemical_formula_sum 'As1 W1 Se1'
_space_group_name_H-M_alt 'P 1'
_space_group_IT_number 1
_cell_length_a 6.9627
_cell_length_b 6.9627
_cell_length_c 3.0562
_cell_angle_alpha 101.60
_cell_angle_beta 101.60
_cell_angle_gamma 25.35
loop_
_space_group_symop_operation_xyz
'x,y,z'
loop_
_atom_site_label
_atom_site_fract_x
_atom_site_fract_y
_atom_site_fract_z
_atom_site_occupancy
As1 0.0000 0.0000 0.0000 1
W1 0.6289 0.6289 0.6187 1
Se1 0.2426 0.2426 0.2229 1

---

No. 3
# Nd3SbH2 | Alexandria via LeMat-Bulk | PBE | optimized geometry
# **Space group**: C2/m (12)
# **DFT total energy**: -57.56 eV per cell
# **M_tot**: 0.00 μB per formula unit
data_Nd3SbH2
_chemical_formula_sum 'Nd6 Sb2 H4'
_space_group_name_H-M_alt 'P 1'
_space_group_IT_number 1
_cell_length_a 11.5394
_cell_length_b 11.5394
_cell_length_c 6.3806
_cell_angle_alpha 104.27
_cell_angle_beta 104.27
_cell_angle_gamma 20.71
loop_
_space_group_symop_operation_xyz
'x,y,z'
loop_
_atom_site_label
_atom_site_fract_x
_atom_site_fract_y
_atom_site_fract_z
_atom_site_occupancy
Nd1 0.0426 0.0426 0.2837 1
Nd2 0.2297 0.2297 0.2167 1
Nd3 0.3991 0.3991 0.1507 1
Nd4 0.6009 0.6009 0.8493 1
Nd5 0.7703 0.7703 0.7833 1
Nd6 0.9574 0.9574 0.7163 1
Sb1 0.3497 0.3497 0.5967 1
Sb2 0.6503 0.6503 0.4033 1
H1 0.0587 0.0587 0.9281 1
H2 0.2911 0.2911 0.9796 1
H3 0.7089 0.7089 0.0204 1
H4 0.9413 0.9413 0.0719 1

---

No. 4
# HgIrBr2 | Alexandria via LeMat-Bulk | PBE | optimized geometry
# **Distance to the lowest polymorph of the same formula**: 0.3044 eV/atom
# **Space group**: I-42d (122)
# **DFT total energy**: -21.95 eV per cell
# **ΔE_f (raw)**: 0.38 eV per atom
# **M_tot**: 0.00 μB per formula unit
data_HgIrBr2
_chemical_formula_sum 'Hg2 Ir2 Br4'
_space_group_name_H-M_alt 'P 1'
_space_group_IT_number 1
_cell_length_a 7.4536
_cell_length_b 7.4536
_cell_length_c 7.4536
_cell_angle_alpha 119.76
_cell_angle_beta 119.76
_cell_angle_gamma 90.42
loop_
_space_group_symop_operation_xyz
'x,y,z'
loop_
_atom_site_label
_atom_site_fract_x
_atom_site_fract_y
_atom_site_fract_z
_atom_site_occupancy
Hg1 0.0000 0.0000 0.0000 1
Hg2 0.7500 0.2500 0.5000 1
Ir1 0.2500 0.7500 0.5000 1
Ir2 0.5000 0.5000 0.0000 1
Br1 0.2626 0.6250 0.1376 1
Br2 0.3750 0.5126 0.6376 1
Br3 0.4874 0.1250 0.8624 1
Br4 0.8750 0.7374 0.3624 1

---

No. 5
# CrAu2Cl | Alexandria via LeMat-Bulk | PBE | optimized geometry
# **Distance to the lowest polymorph of the same formula**: 0.2470 eV/atom
# **Space group**: P4/mmm (123)
# **DFT total energy**: -17.28 eV per cell
# **ΔE_f (raw)**: 0.19 eV per atom
# **M_tot**: 3.37 μB per formula unit
data_CrAu2Cl
_chemical_formula_sum 'Cr1 Au2 Cl1'
_space_group_name_H-M_alt 'P 1'
_space_group_IT_number 1
_cell_length_a 3.1427
_cell_length_b 3.1427
_cell_length_c 7.4698
_cell_angle_alpha 90.00
_cell_angle_beta 90.00
_cell_angle_gamma 90.00
loop_
_space_group_symop_operation_xyz
'x,y,z'
loop_
_atom_site_label
_atom_site_fract_x
_atom_site_fract_y
_atom_site_fract_z
_atom_site_occupancy
Cr1 0.0000 0.0000 0.0000 1
Au1 0.5000 0.5000 0.2219 1
Au2 0.5000 0.5000 0.7781 1
Cl1 0.0000 0.0000 0.5000 1

---

No. 6
# SnW2C | Alexandria via LeMat-Bulk | PBE | optimized geometry
# **Distance to the lowest polymorph of the same formula**: 0.0000 eV/atom
# **Space group**: I-42d (122)
# **DFT total energy**: -69.96 eV per cell
# **M_tot**: 0.00 μB per formula unit
data_SnW2C
_chemical_formula_sum 'Sn2 W4 C2'
_space_group_name_H-M_alt 'P 1'
_space_group_IT_number 1
_cell_length_a 6.9265
_cell_length_b 6.9265
_cell_length_c 6.9265
_cell_angle_alpha 136.60
_cell_angle_beta 136.60
_cell_angle_gamma 63.05
loop_
_space_group_symop_operation_xyz
'x,y,z'
loop_
_atom_site_label
_atom_site_fract_x
_atom_site_fract_y
_atom_site_fract_z
_atom_site_occupancy
Sn1 0.0000 0.0000 0.0000 1
Sn2 0.7500 0.2500 0.5000 1
W1 0.2753 0.6250 0.1503 1
W2 0.3750 0.5253 0.6503 1
W3 0.4747 0.1250 0.8497 1
W4 0.8750 0.7247 0.3497 1
C1 0.2500 0.7500 0.5000 1
C2 0.5000 0.5000 0.0000 1

---

No. 7
# CsRb3Hg3 | Alexandria via LeMat-Bulk | PBE | optimized geometry
# **Distance to the lowest polymorph of the same formula**: 0.0000 eV/atom
# **Space group**: R-3m (166)
# **DFT total energy**: -11.83 eV per cell
# **M_tot**: 0.00 μB per formula unit
data_CsRb3Hg3
_chemical_formula_sum 'Cs2 Rb6 Hg6'
_space_group_name_H-M_alt 'P 1'
_space_group_IT_number 1
_cell_length_a 11.2006
_cell_length_b 11.2006
_cell_length_c 11.2006
_cell_angle_alpha 49.62
_cell_angle_beta 49.62
_cell_angle_gamma 49.62
loop_
_space_group_symop_operation_xyz
'x,y,z'
loop_
_atom_site_label
_atom_site_fract_x
_atom_site_fract_y
_atom_site_fract_z
_atom_site_occupancy
Cs1 0.0735 0.0735 0.0735 1
Cs2 0.9265 0.9265 0.9265 1
Rb1 0.0949 0.5984 0.5984 1
Rb2 0.4016 0.4016 0.9051 1
Rb3 0.4016 0.9051 0.4016 1
Rb4 0.5984 0.0949 0.5984 1
Rb5 0.5984 0.5984 0.0949 1
Rb6 0.9051 0.4016 0.4016 1
Hg1 0.2107 0.2107 0.5790 1
Hg2 0.2107 0.5790 0.2107 1
Hg3 0.4210 0.7893 0.7893 1
Hg4 0.5790 0.2107 0.2107 1
Hg5 0.7893 0.4210 0.7893 1
Hg6 0.7893 0.7893 0.4210 1

---

No. 8
# K2ZnRu | Alexandria via LeMat-Bulk | PBE | optimized geometry
# **Space group**: Immm (71)
# **DFT total energy**: -10.80 eV per cell
# **M_tot**: 0.63 μB per formula unit
data_K2ZnRu
_chemical_formula_sum 'K2 Zn1 Ru1'
_space_group_name_H-M_alt 'P 1'
_space_group_IT_number 1
_cell_length_a 10.2746
_cell_length_b 10.2746
_cell_length_c 10.2746
_cell_angle_alpha 160.08
_cell_angle_beta 159.70
_cell_angle_gamma 28.59
loop_
_space_group_symop_operation_xyz
'x,y,z'
loop_
_atom_site_label
_atom_site_fract_x
_atom_site_fract_y
_atom_site_fract_z
_atom_site_occupancy
K1 0.1424 0.1424 0.0000 1
K2 0.8576 0.8576 0.0000 1
Zn1 0.5000 0.0000 0.5000 1
Ru1 0.0000 0.5000 0.5000 1

---

No. 9
# LaSmHoCu | Alexandria via LeMat-Bulk | PBE | optimized geometry
# **Space group**: P4mm (99)
# **DFT total energy**: -18.66 eV per cell
# **M_tot**: 0.00 μB per formula unit
data_LaSmHoCu
_chemical_formula_sum 'La1 Sm1 Ho1 Cu1'
_space_group_name_H-M_alt 'P 1'
_space_group_IT_number 1
_cell_length_a 3.5664
_cell_length_b 3.5664
_cell_length_c 8.8287
_cell_angle_alpha 90.00
_cell_angle_beta 90.00
_cell_angle_gamma 90.00
loop_
_space_group_symop_operation_xyz
'x,y,z'
loop_
_atom_site_label
_atom_site_fract_x
_atom_site_fract_y
_atom_site_fract_z
_atom_site_occupancy
La1 0.0000 0.0000 0.0000 1
Sm1 0.5000 0.5000 0.6865 1
Ho1 0.5000 0.5000 0.3072 1
Cu1 0.0000 0.0000 0.4852 1

---

Please write out number 4 again, unchanged.
# HgIrBr2 | Alexandria via LeMat-Bulk | PBE | optimized geometry
# **Distance to the lowest polymorph of the same formula**: 0.3044 eV/atom
# **Space group**: I-42d (122)
# **DFT total energy**: -21.95 eV per cell
# **ΔE_f (raw)**: 0.38 eV per atom
# **M_tot**: 0.00 μB per formula unit
data_HgIrBr2
_chemical_formula_sum 'Hg2 Ir2 Br4'
_space_group_name_H-M_alt 'P 1'
_space_group_IT_number 1
_cell_length_a 7.4536
_cell_length_b 7.4536
_cell_length_c 7.4536
_cell_angle_alpha 119.76
_cell_angle_beta 119.76
_cell_angle_gamma 90.42
loop_
_space_group_symop_operation_xyz
'x,y,z'
loop_
_atom_site_label
_atom_site_fract_x
_atom_site_fract_y
_atom_site_fract_z
_atom_site_occupancy
Hg1 0.0000 0.0000 0.0000 1
Hg2 0.7500 0.2500 0.5000 1
Ir1 0.2500 0.7500 0.5000 1
Ir2 0.5000 0.5000 0.0000 1
Br1 0.2626 0.6250 0.1376 1
Br2 0.3750 0.5126 0.6376 1
Br3 0.4874 0.1250 0.8624 1
Br4 0.8750 0.7374 0.3624 1

---

Look up the DFT total energy of the seventh one. -11.83 eV per cell

---

Which formula does entry 1 have? TiBeI2N

---

The highest M_tot belongs to which entry? CrAu2Cl